This record from Alexandria via LeMat-Bulk describes Ce3Al2Ni6 after structural relaxation. The functional is GGA-PBE.

a = 7.7141 Å, b = 7.7141 Å, c = 7.7141 Å
α = 109.47°, β = 109.47°, γ = 109.47°
Element x y z (fractional)
Ce 0.0000 0.2783 0.2783
Ce 0.0000 0.7217 0.7217
Ce 0.2783 0.0000 0.2783
Ce 0.2783 0.2783 0.0000
Ce 0.7217 0.0000 0.7217
Ce 0.7217 0.7217 0.0000
Al 0.0000 0.0000 0.5000
Al 0.0000 0.5000 0.0000
Al 0.5000 0.0000 0.0000
Al 0.5000 0.5000 0.5000
Ni 0.0000 0.3436 0.6564
Ni 0.0000 0.6564 0.3436
Ni 0.3128 0.6564 0.6564
Ni 0.3436 0.0000 0.6564
Ni 0.3436 0.3436 0.6872
Ni 0.3436 0.6564 0.0000
Ni 0.3436 0.6872 0.3436
Ni 0.6564 0.0000 0.3436
Ni 0.6564 0.3128 0.6564
Ni 0.6564 0.3436 0.0000
Ni 0.6564 0.6564 0.3128
Ni 0.6872 0.3436 0.3436

Formation energy from the elements (eV per atom): -0.473